[1]
First-principles (PBE) data for Sc2FeRu after structural relaxation, as listed in the Alexandria database.

Output
formation energy from the elements	0.24	eV/atom
total magnetization	1.67	μB/f.u.
space group	R-3m, No. 166

Cell lengths 9.177, 9.177, 9.177 Å; angles 19.16, 19.16, 19.16 degrees
Site moments in Bohr magnetons follow the coordinates.
Positions (direct):
Sc (0.093, 0.093, 0.093)  -0.19
Sc (0.907, 0.907, 0.907)  -0.19
Ru (0.500, 0.500, 0.500)  -0.25
Fe (0.000, 0.000, 0.000)  2.55

***

[2]
First-principles (PBE) data for KNa2Hg after structural relaxation, as listed in the Alexandria database.

Output
formation energy from the elements	-0.09	eV/atom
total magnetization	0.00	μB/f.u.
excess energy over the best structure of this formula in the dataset	0.230	eV/f.u.
space group	P4/mmm, No. 123

Cell lengths 5.405, 5.161, 5.161 Å; angles 90.00, 90.00, 90.00 degrees
Positions (direct):
Na (0.000, 0.000, 0.500)
Na (0.000, 0.500, 0.000)
Hg (0.500, 0.500, 0.500)
K (0.500, 0.000, 0.000)

***

[3]
First-principles (PBE) data for PrYZn4 after structural relaxation, as listed in the Alexandria database.

Output
formation energy from the elements	-0.33	eV/atom
total magnetization	0.00	μB/f.u.
excess energy over the best structure of this formula in the dataset	0.199	eV/f.u.
space group	F-43m, No. 216

Cell lengths 5.544, 5.544, 5.544 Å; angles 60.00, 60.00, 60.00 degrees
Positions (direct):
Y (0.000, 0.000, 0.000)
Zn (0.625, 0.124, 0.625)
Zn (0.625, 0.625, 0.625)
Zn (0.124, 0.625, 0.625)
Zn (0.625, 0.625, 0.124)
Pr (0.250, 0.250, 0.250)

***

> Which formula does entry 3 have?

PrYZn4

***

> What is the formation energy from the elements in the third record?

-0.33 eV/atom